[1]
First-principles (PBE) data for an optimized crystal structure of YErMgTi, as listed in the Alexandria database.

It has space group F-43m (No. 216), with a = 7.4191 Å, b = 7.4191 Å, c = 7.4191 Å, α = 90.00°, β = 90.00° and γ = 90.00°. The distinct sites, in fractional coordinates, are Y at (0.0000, 0.0000, 0.0000), Er at (0.0000, 0.0000, 0.5000), Mg at (0.2500, 0.2500, 0.7500) and Ti at (0.2500, 0.2500, 0.2500).

The volume comes out at 25.5 Å³ per atom. As for the magnetic moment: 2.24 μB per formula unit. The value obtained for the formation energy is 14 kJ/mol of atoms.

[2]
First-principles (PBE) data for an optimized crystal structure of Er2MgTl, as listed in the Alexandria database.

It has space group Cm (No. 8), with a = 6.1718 Å, b = 3.5628 Å, c = 10.5874 Å, α = 90.00°, β = 101.12° and γ = 90.00°. The distinct sites, in fractional coordinates, are Er at (0.0000, 0.0000, 0.0000), Er at (0.1742, 0.0000, 0.5200), Mg at (0.2537, 0.5000, 0.2595) and Tl at (0.0868, 0.5000, 0.7596).

The volume comes out at 28.6 Å³ per atom. As for the magnetic moment: 0.00 μB per formula unit. The value obtained for the distance to the lowest polymorph of the same formula is 64 kJ/mol of formula units. The value obtained for the formation energy is -5 kJ/mol of atoms.

[3]
First-principles (PBE) data for an optimized crystal structure of Er2MgTl, as listed in the Alexandria database.

It has space group Fm-3m (No. 225), with a = 7.4890 Å, b = 7.4890 Å, c = 7.4890 Å, α = 90.00°, β = 90.00° and γ = 90.00°. The distinct sites, in fractional coordinates, are Er at (0.2500, 0.2500, 0.2500), Mg at (0.0000, 0.0000, 0.0000) and Tl at (0.0000, 0.0000, 0.5000).

The volume comes out at 26.3 Å³ per atom. As for the magnetic moment: 0.00 μB per formula unit. The value obtained for the distance to the lowest polymorph of the same formula is 3 kJ/mol of formula units. The value obtained for the formation energy is -20 kJ/mol of atoms.

[4]
First-principles (PBE) data for an optimized crystal structure of ErMgTl, as listed in the Alexandria database.

It has space group P-62m (No. 189), with a = 7.4981 Å, b = 7.4981 Å, c = 4.6557 Å, α = 90.00°, β = 90.00° and γ = 120.00°. The distinct sites, in fractional coordinates, are Er at (0.0000, 0.4324, 0.0000), Mg at (0.0000, 0.7573, 0.5000), Tl at (0.0000, 0.0000, 0.0000) and Tl at (0.3333, 0.6667, 0.5000).

The volume comes out at 25.2 Å³ per atom. As for the magnetic moment: 0.00 μB per formula unit. The value obtained for the formation energy is -29 kJ/mol of atoms.

[5]
First-principles (PBE) data for an optimized crystal structure of Er2Mg2Tl3, as listed in the Alexandria database.

It has space group Cmmm (No. 65), with a = 3.5397 Å, b = 28.9053 Å, c = 3.6035 Å, α = 90.00°, β = 90.00° and γ = 90.00°. The distinct sites, in fractional coordinates, are Er at (0.0000, 0.0723, 0.0000), Mg at (0.0000, 0.2062, 0.0000), Tl at (0.0000, 0.3552, 0.5000) and Tl at (0.0000, 0.5000, 0.5000).

The volume comes out at 26.3 Å³ per atom. As for the magnetic moment: 0.22 μB per formula unit. The value obtained for the formation energy is -13 kJ/mol of atoms.

[6]
First-principles (PBE) data for an optimized crystal structure of ErMg4Tl, as listed in the Alexandria database.

It has space group F-43m (No. 216), with a = 8.4815 Å, b = 8.4815 Å, c = 8.4815 Å, α = 90.00°, β = 90.00° and γ = 90.00°. The distinct sites, in fractional coordinates, are Er at (0.0000, 0.0000, 0.0000), Mg at (0.1252, 0.1252, 0.3748) and Tl at (0.2500, 0.2500, 0.7500).

The volume comes out at 25.4 Å³ per atom. As for the magnetic moment: 0.00 μB per formula unit. The value obtained for the formation energy is 2 kJ/mol of atoms.

[7]
First-principles (PBE) data for an optimized crystal structure of ErMg3Tl, as listed in the Alexandria database.

It has space group Cmcm (No. 63), with a = 3.3934 Å, b = 29.1902 Å, c = 5.2069 Å, α = 90.00°, β = 90.00° and γ = 90.00°. The distinct sites, in fractional coordinates, are Er at (0.0000, 0.0769, 0.2500), Mg at (0.0000, 0.3216, 0.7500), Mg at (0.0000, 0.3754, 0.2500), Mg at (0.0000, 0.4755, 0.2500) and Tl at (0.0000, 0.2163, 0.7500).

The volume comes out at 25.8 Å³ per atom. As for the magnetic moment: 0.00 μB per formula unit. The value obtained for the formation energy is -4 kJ/mol of atoms.

[8]
First-principles (PBE) data for an optimized crystal structure of Er2Mg2Tl, as listed in the Alexandria database.

It has space group C2/m (No. 12), with a = 11.2892 Å, b = 5.1353 Å, c = 9.4263 Å, α = 90.00°, β = 108.54° and γ = 90.00°. The distinct sites, in fractional coordinates, are Er at (0.0388, 0.0000, 0.3421), Er at (0.1620, 0.0000, 0.0576), Mg at (0.0250, 0.5000, 0.8594), Mg at (0.1389, 0.5000, 0.5767) and Tl at (0.2442, 0.5000, 0.2903).

The volume comes out at 25.9 Å³ per atom. As for the magnetic moment: 0.00 μB per formula unit. The value obtained for the distance to the lowest polymorph of the same formula is 7 kJ/mol of formula units. The value obtained for the formation energy is -12 kJ/mol of atoms.